This record from Alexandria via LeMat-Bulk describes crystalline CrAuO2F at its relaxed geometry. The functional is PBE with a Hubbard U.

Cell: 3.9378 3.9378 3.8701 Å, 90.00 90.00 90.00°
Positions (direct):
Au1 0.5000 0.5000 0.5000
Cr1 0.0000 0.0000 0.0000
F1 0.0000 0.0000 0.5000
O1 0.5000 0.0000 0.0000
O2 0.0000 0.5000 0.0000

Properties
Density, g cm⁻³: 8.300
Total energy, eV per atom: -5.42
V, Å³ per atom: 12.0
Size of the total moment, μB per formula unit: 2.0